1.
The following is a DFT calculation (PBE-GGA) of an optimized crystal structure of Co3HPt.

POSCAR file:
```
Co3HPt
1.0
4.652 0.000 0.000
0.000 4.652 0.000
0.000 0.000 4.652
Co H Pt
3 1 1
direct
0.000 0.000 0.500
0.000 0.500 0.000
0.500 0.000 0.000
0.500 0.500 0.500
0.000 0.000 0.000
```

Computed properties:
Symmetry: No. 221
Offset from the most stable computed form: 174.26 kJ per mole of atoms

***

2.
The following is a DFT calculation (PBE-GGA) of an optimized crystal structure of Co2HPt.

POSCAR file:
```
Co2HPt
1.0
0.000 2.846 2.846
2.846 0.000 2.846
2.846 2.846 0.000
Co H Pt
2 1 1
direct
0.250 0.250 0.250
0.750 0.750 0.750
0.000 0.000 0.000
0.500 0.500 0.500
```

Computed properties:
Symmetry: No. 225
Offset from the most stable computed form: 62.23 kJ per mole of atoms

***

3.
The following is a DFT calculation (PBE-GGA) of an optimized crystal structure of Co3H12Pt5.

POSCAR file:
```
Co3H12Pt5
1.0
-5.373 5.373 5.373
5.373 -5.373 5.373
5.373 5.373 -5.373
Co H Pt
12 48 20
direct
0.125 0.250 0.375
0.125 0.375 0.750
0.250 0.375 0.125
0.250 0.875 0.625
0.375 0.125 0.250
0.375 0.750 0.125
0.625 0.250 0.875
0.625 0.875 0.750
0.750 0.125 0.375
0.750 0.625 0.875
0.875 0.625 0.250
0.875 0.750 0.625
0.063 0.228 0.155
0.063 0.335 0.908
0.073 0.728 0.665
0.073 0.845 0.408
0.092 0.655 0.427
0.092 0.937 0.665
0.155 0.063 0.228
0.155 0.592 0.927
0.165 0.228 0.573
0.165 0.437 0.592
0.228 0.155 0.063
0.228 0.573 0.165
0.272 0.335 0.927
0.272 0.437 0.345
0.335 0.908 0.063
0.335 0.927 0.272
0.345 0.272 0.437
0.345 0.573 0.908
0.408 0.073 0.845
0.408 0.835 0.563
0.427 0.092 0.655
0.427 0.835 0.772
0.437 0.345 0.272
0.437 0.592 0.165
0.563 0.408 0.835
0.563 0.655 0.728
0.573 0.165 0.228
0.573 0.908 0.345
0.592 0.165 0.437
0.592 0.927 0.155
0.655 0.427 0.092
0.655 0.728 0.563
0.665 0.073 0.728
0.665 0.092 0.937
0.728 0.563 0.655
0.728 0.665 0.073
0.772 0.427 0.835
0.772 0.845 0.937
0.835 0.563 0.408
0.835 0.772 0.427
0.845 0.408 0.073
0.845 0.937 0.772
0.908 0.063 0.335
0.908 0.345 0.573
0.927 0.155 0.592
0.927 0.272 0.335
0.937 0.665 0.092
0.937 0.772 0.845
0.000 0.000 0.000
0.000 0.000 0.500
0.000 0.500 0.000
0.000 0.500 0.500
0.125 0.750 0.875
0.125 0.875 0.250
0.250 0.125 0.875
0.250 0.625 0.375
0.375 0.250 0.625
0.375 0.625 0.750
0.500 0.000 0.000
0.500 0.000 0.500
0.500 0.500 0.000
0.500 0.500 0.500
0.625 0.375 0.250
0.625 0.750 0.375
0.750 0.375 0.625
0.750 0.875 0.125
0.875 0.125 0.750
0.875 0.250 0.125
```

Computed properties:
Symmetry: No. 230

***

Ordered mass density results: 6.15; 11.30; 12.47; unit g/cm³.
Ordered total energy results: -21.9; -21.1; -350.2; unit eV per cell.